No. 1
## Ir4OsN2 (PBE)

Data for an optimized crystal structure of Ir4OsN2.

Computed properties:
**E_form (uncorrected)**: 2.11 eV per atom
**Energy**: -6.94 eV per atom

a b c (Å): 6.5045 6.5045 6.5045
angles (deg): 138.09 138.09 60.77
Atoms (fractional coordinates):
Ir1 0.0000 0.5000 0.5000
Ir2 0.2373 0.2373 0.0000
Ir3 0.5000 0.0000 0.5000
Ir4 0.7627 0.7627 0.0000
Os1 0.0000 0.0000 0.0000
N1 0.3946 0.3946 0.0000
N2 0.6054 0.6054 0.0000



No. 2
## InSF (PBE)

Data for an optimized crystal structure of InSF.

Computed properties:
**E_form (uncorrected)**: -1.33 eV per atom
**Energy**: -4.24 eV per atom

a b c (Å): 3.5862 5.2766 6.6529
angles (deg): 90.00 91.63 90.00
Atoms (fractional coordinates):
In1 0.2434 0.2500 0.3462
In2 0.7566 0.7500 0.6538
S1 0.2419 0.7500 0.3689
S2 0.7581 0.2500 0.6311
F1 0.2665 0.7500 0.8442
F2 0.7335 0.2500 0.1558



No. 3
## TaHIr3 (PBE)

Data for an optimized crystal structure of TaHIr3.

Computed properties:
**Excess energy over the best structure of this formula in the dataset**: 1.8 meV per atom
**Energy**: -8.74 eV per atom

a b c (Å): 3.9801 3.9801 3.9801
angles (deg): 90.00 90.00 90.00
Atoms (fractional coordinates):
Ta1 0.0000 0.0000 0.0000
H1 0.5000 0.5000 0.5000
Ir1 0.0000 0.5000 0.5000
Ir2 0.5000 0.0000 0.5000
Ir3 0.5000 0.5000 0.0000



No. 4
## HgPb2SeO (PBE)

Data for an optimized crystal structure of HgPb2SeO.

Computed properties:
**E_form (uncorrected)**: 0.76 eV per atom
**Energy**: -2.48 eV per atom

a b c (Å): 5.8322 5.8322 5.0016
angles (deg): 90.00 90.00 90.00
Atoms (fractional coordinates):
Hg1 0.0000 0.0000 0.0000
Pb1 0.0000 0.5000 0.0000
Pb2 0.5000 0.0000 0.0000
Se1 0.0000 0.0000 0.5000
O1 0.5000 0.5000 0.5000



No. 5
## Cr3Br (PBE)

Data for an optimized crystal structure of Cr3Br.

Computed properties:
**Excess energy over the best structure of this formula in the dataset**: 546.1 meV per atom
**E_form (uncorrected)**: 0.97 eV per atom
**Energy**: -6.66 eV per atom

a b c (Å): 5.0606 5.0606 5.0606
angles (deg): 139.20 139.20 59.07
Atoms (fractional coordinates):
Cr1 0.0000 0.0000 0.0000
Cr2 0.2500 0.7500 0.5000
Cr3 0.7500 0.2500 0.5000
Br1 0.5000 0.5000 0.0000



No. 6
## MnP2AuS (PBE)

Data for an optimized crystal structure of MnP2AuS.

Computed properties:
**Excess energy over the best structure of this formula in the dataset**: 1082.4 meV per atom
**E_form (uncorrected)**: 1.61 eV per atom
**Energy**: -3.86 eV per atom

a b c (Å): 4.7489 4.7489 4.8723
angles (deg): 90.00 90.00 90.00
Atoms (fractional coordinates):
Mn1 0.0000 0.0000 0.0000
P1 0.0000 0.5000 0.5000
P2 0.5000 0.0000 0.5000
Au1 0.5000 0.5000 0.5000
S1 0.5000 0.5000 0.0000



No. 7
## CeGd2Zr (PBE)

Data for an optimized crystal structure of CeGd2Zr.

Computed properties:
**E_form**: 0.305 eV/atom
**Excess energy over the best structure of this formula in the dataset**: 184.4 meV per atom
**Energy**: -10.36 eV per atom

a b c (Å): 12.0426 12.0426 12.0426
angles (deg): 15.92 15.92 15.92
Atoms (fractional coordinates):
Ce1 0.0000 0.0000 0.0000
Gd1 0.4128 0.4128 0.4128
Gd2 0.5872 0.5872 0.5872
Zr1 0.5000 0.5000 0.5000



No. 8
## GaRuPb2 (PBE)

Data for an optimized crystal structure of GaRuPb2.

Computed properties:
**E_form**: 0.239 eV/atom
**Energy**: -4.69 eV per atom

a b c (Å): 7.1255 7.1255 7.1255
angles (deg): 96.68 96.68 140.11
Atoms (fractional coordinates):
Ga1 0.0000 0.0000 0.0000
Ga2 0.7500 0.2500 0.5000
Ru1 0.2500 0.7500 0.5000
Ru2 0.5000 0.5000 0.0000
Pb1 0.2524 0.6250 0.1274
Pb2 0.3750 0.5024 0.6274
Pb3 0.4976 0.1250 0.8726
Pb4 0.8750 0.7476 0.3726



No. 9
## Li4DyTl3 (PBE)

Data for an optimized crystal structure of Li4DyTl3.

Computed properties:
**E_form**: -0.222 eV/atom
**Energy**: -2.64 eV per atom

a b c (Å): 8.7802 8.7802 8.7802
angles (deg): 32.20 32.20 32.20
Atoms (fractional coordinates):
Li1 0.1091 0.1091 0.1091
Li2 0.3696 0.3696 0.3696
Li3 0.6304 0.6304 0.6304
Li4 0.8909 0.8909 0.8909
Dy1 0.5000 0.5000 0.5000
Tl1 0.0000 0.0000 0.0000
Tl2 0.2358 0.2358 0.2358
Tl3 0.7642 0.7642 0.7642



No. 10
## Li2CrRe (PBE)

Data for an optimized crystal structure of Li2CrRe.

Computed properties:
**E_form**: 0.500 eV/atom
**Excess energy over the best structure of this formula in the dataset**: 251.9 meV per atom
**Energy**: -5.97 eV per atom

a b c (Å): 2.4576 2.4576 9.1612
angles (deg): 90.00 90.00 90.00
Atoms (fractional coordinates):
Li1 0.0000 0.0000 0.2482
Li2 0.0000 0.0000 0.7518
Cr1 0.5000 0.5000 0.5000
Re1 0.5000 0.5000 0.0000



No. 11
## CdCu2Ru (PBE)

Data for an optimized crystal structure of CdCu2Ru.

Computed properties:
**E_form**: 0.258 eV/atom
**Energy**: -4.34 eV per atom

a b c (Å): 2.6866 3.8483 5.6726
angles (deg): 90.00 90.09 90.00
Atoms (fractional coordinates):
Cd1 0.0000 0.0000 0.0000
Cu1 0.4997 0.5000 0.2763
Cu2 0.5003 0.5000 0.7237
Ru1 0.0000 0.0000 0.5000



Number 1: size of the total moment 0.00 μB/f.u.. Number 2: size of the total moment 0.00 μB/f.u.. Number 3: size of the total moment 0.00 μB/f.u.. Number 4: size of the total moment 0.00 μB/f.u.. Number 5: size of the total moment 1.33 μB/f.u.. Number 6: size of the total moment 1.01 μB/f.u.. Number 7: size of the total moment 13.99 μB/f.u.. Number 8: size of the total moment 0.00 μB/f.u.. Number 9: size of the total moment 0.00 μB/f.u.. Number 10: size of the total moment 0.10 μB/f.u.. Number 11: size of the total moment 0.22 μB/f.u..